(1)
{
  "formula": "CsSrB2F8",
  "functional": "PBE",
  "state": "optimized geometry",
  "lattice": [[-3.952, -3.141, -2.494], [0.385, -5.616, 0.107], [-5.829, -3.093, 6.777]],
  "species": ["F", "F", "F", "F", "F", "F", "F", "F", "B", "B", "Cs", "Sr"],
  "fractional_positions": [[0.786, 0.786, 0.642], [0.949, 0.473, 0.855], [0.527, 0.278, 0.145], [0.051, 0.527, 0.145], [0.473, 0.722, 0.855], [0.278, 0.051, 0.145], [0.214, 0.214, 0.358], [0.722, 0.949, 0.855], [0.266, 0.266, 0.202], [0.734, 0.734, 0.798], [0.500, 0.500, 0.500], [0.000, 0.000, 0.000]],
  "energy_ev_per_atom": -5.48,
  "e_form_raw_ev_per_atom": -2.906,
  "vol_a3_per_cell": 244
}

(2)
{
  "formula": "Hf2Al6Au",
  "functional": "PBE",
  "state": "optimized geometry",
  "lattice": [[3.134, 0.000, 0.248], [0.000, 7.505, 0.000], [-0.556, -3.753, 6.962]],
  "species": ["Al", "Al", "Al", "Al", "Al", "Al", "Hf", "Hf", "Au"],
  "fractional_positions": [[0.001, 0.657, 0.680], [0.001, 0.024, 0.680], [0.999, 0.976, 0.320], [0.999, 0.343, 0.320], [0.500, 0.690, 0.000], [0.500, 0.310, 0.000], [0.500, 0.311, 0.622], [0.500, 0.689, 0.378], [0.000, 0.000, 0.000]],
  "energy_ev_per_atom": -5.32,
  "vol_a3_per_cell": 165,
  "delta_e_f_ev_per_atom": -0.25
}

(3)
{
  "formula": "DyCo13",
  "functional": "PBE",
  "state": "optimized geometry",
  "lattice": [[6.848, 0.000, 3.954], [2.283, 6.457, 3.954], [0.000, 0.000, 7.908]],
  "species": ["Co", "Co", "Co", "Co", "Co", "Co", "Co", "Co", "Co", "Co", "Co", "Co", "Co", "Co", "Co", "Co", "Co", "Co", "Co", "Co", "Co", "Co", "Co", "Co", "Co", "Co", "Dy", "Dy"],
  "fractional_positions": [[0.558, 0.797, 0.203], [0.558, 0.442, 0.797], [0.442, 0.203, 0.797], [0.297, 0.703, 0.942], [0.058, 0.297, 0.942], [0.297, 0.942, 0.058], [0.000, 0.000, 0.000], [0.942, 0.703, 0.058], [0.797, 0.203, 0.558], [0.500, 0.500, 0.500], [0.703, 0.297, 0.058], [0.203, 0.558, 0.797], [0.058, 0.942, 0.703], [0.297, 0.058, 0.703], [0.703, 0.058, 0.942], [0.942, 0.058, 0.297], [0.703, 0.942, 0.297], [0.203, 0.797, 0.442], [0.558, 0.203, 0.442], [0.442, 0.797, 0.558], [0.058, 0.703, 0.297], [0.442, 0.558, 0.203], [0.797, 0.558, 0.442], [0.942, 0.297, 0.703], [0.797, 0.442, 0.203], [0.203, 0.442, 0.558], [0.750, 0.750, 0.750], [0.250, 0.250, 0.250]],
  "energy_ev_per_atom": -6.97,
  "vol_a3_per_cell": 350,
  "delta_e_f_ev_per_atom": -0.04
}

(4)
{
  "formula": "ZrAlNi",
  "functional": "PBE",
  "state": "optimized geometry",
  "lattice": [[-0.025, -3.679, -0.495], [4.170, -0.448, 3.113], [-6.059, -1.031, 7.966]],
  "species": ["Ni", "Ni", "Ni", "Ni", "Al", "Al", "Al", "Al", "Zr", "Zr", "Zr", "Zr"],
  "fractional_positions": [[0.250, 0.500, 0.250], [0.750, 0.500, 0.750], [0.750, 0.000, 0.750], [0.250, 0.000, 0.250], [0.250, 0.750, 0.670], [0.750, 0.250, 0.330], [0.250, 0.250, 0.830], [0.750, 0.750, 0.170], [0.750, 0.250, 0.045], [0.250, 0.250, 0.545], [0.750, 0.750, 0.455], [0.250, 0.750, 0.955]],
  "energy_ev_per_atom": -6.54,
  "vol_a3_per_cell": 195,
  "delta_e_f_ev_per_atom": -0.52
}